No. 1
## Mn2NbTcC (GGA-PBE)

Data for a geometry-optimized Mn2NbTcC structure.

Cell and atoms, written as POSCAR:
```
Mn2NbTcC
1.0
3.8662 0.0000 0.0000
0.0000 3.8662 0.0000
0.0000 0.0000 4.0920
Nb Mn C Tc
1 2 1 1
Cartesian
1.9331 1.9331 2.0460 Nb
1.9331 0.0000 0.0000 Mn
0.0000 1.9331 0.0000 Mn
0.0000 0.0000 0.0000 C
0.0000 0.0000 2.0460 Tc
```

Results
- Spin magnetization: 1.651 μB/cell
- ΔH_f (0 K): -91 meV per atom
- Uncorrected energy: -9.69 eV/atom
- Space group: P4/mmm (123)

No. 2
## MnNbTc2C (GGA-PBE)

Data for a geometry-optimized MnNbTc2C structure.

Cell and atoms, written as POSCAR:
```
MnNbTc2C
1.0
-1.5658 -3.4589 -1.6003
-1.0044 -1.2944 3.7805
-3.4397 1.7091 -0.3286
C Tc Nb Mn
1 2 1 1
Cartesian
0.0000 0.0000 0.0000 C
-0.5022 -0.6472 1.8903 Tc
-0.7829 -1.7295 -0.8001 Tc
-3.0049 -1.5221 0.9258 Nb
-1.7198 0.8546 -0.1643 Mn
```

Results
- Spin magnetization: 1.432 μB/cell
- ΔH_f (0 K): -103 meV per atom
- Uncorrected energy: -9.94 eV/atom
- Space group: P4/mmm (123)

No. 3
## MnNb2TcC (GGA-PBE)

Data for a geometry-optimized MnNb2TcC structure.

Cell and atoms, written as POSCAR:
```
MnNb2TcC
1.0
4.6830 0.0000 0.0000
0.0000 3.5449 0.0000
0.0000 0.0000 4.6830
Nb Tc Mn C
2 1 1 1
Cartesian
0.0000 0.0000 2.3415 Nb
2.3415 0.0000 0.0000 Nb
2.3415 1.7725 2.3415 Tc
0.0000 0.0000 0.0000 Mn
0.0000 1.7725 0.0000 C
```

Results
- Spin magnetization: 0.000 μB/cell
- ΔH_f (0 K): 1027 meV per atom
- Uncorrected energy: -8.75 eV/atom
- Space group: P4/mmm (123)